## Sb3Cl (GGA-PBE)

Data for a geometry-optimized Sb3Cl structure.

Values from the calculation:
uncorrected formation energy: 0.036 eV per atom
distance to the lowest polymorph of the same formula: 92 meV/atom

Unit cell a=3.9130 b=3.9130 c=25.9308 alpha=90.00 beta=90.00 gamma=120.00
Space group R-3m (No. 166, hexagonal axes)
Inequivalent atoms, fractional coordinates:
1 Sb 0.0000 0.0000 0.0000
2 Sb 0.0000 0.0000 0.2548
3 Cl 0.0000 0.0000 0.5000

## CsLi2MgAu (GGA-PBE)

Data for a geometry-optimized CsLi2MgAu structure.

Values from the calculation:
energy of formation: -101.9 meV per atom

Unit cell a=5.404 b=5.404 c=5.342 alpha=90.00 beta=90.00 gamma=90.00
Space group P4/mmm (No. 123)
Inequivalent atoms, fractional coordinates:
1 Cs 0.000 0.000 0.000
2 Li 0.000 0.500 0.500
3 Mg 0.500 0.500 0.000
4 Au 0.500 0.500 0.500